The following is a GGA-PBE calculation of a relaxed In8HgPb2 crystal, from Alexandria via LeMat-Bulk.

relative energy among the computed polymorphs: 0.025 eV/atom
DOS at the Fermi energy: 4.67 states/eV per cell
formation energy from the elements: 0.04 eV per atom
raw total energy: -2.652 eV per atom
calculated density: 8.01 g/cm³

Cell: 4.8928 4.8928 13.2787 Å, 90.00 90.00 90.00°
Last column: nearest neighbours and their distance in Å.
Positions (direct):
In (0.0000, 0.5000, 0.5000)  4 Pb 3.40, 8 In 3.42-3.46
In (0.5000, 0.0000, 0.5000)  4 Pb 3.40, 8 In 3.42-3.46
In (0.5000, 0.5000, 0.3195)  8 In 3.38-3.42, 4 Pb 3.46
In (0.5000, 0.5000, 0.6805)  8 In 3.38-3.42, 4 Pb 3.46
In (0.0000, 0.5000, 0.1438)  2 Hg 3.10, 6 In 3.38-3.46, 2 Pb 3.41
In (0.5000, 0.0000, 0.1438)  2 Hg 3.10, 6 In 3.38-3.46, 2 Pb 3.41
In (0.0000, 0.5000, 0.8562)  2 Hg 3.10, 6 In 3.38-3.46, 2 Pb 3.41
In (0.5000, 0.0000, 0.8562)  2 Hg 3.10, 6 In 3.38-3.46, 2 Pb 3.41
Hg (0.0000, 0.0000, 0.0000)  8 In 3.10
Pb (0.0000, 0.0000, 0.3224)  12 In 3.40-3.46
Pb (0.0000, 0.0000, 0.6776)  12 In 3.40-3.46

The following is a GGA-PBE calculation of a relaxed TcSn2Au crystal, from Alexandria via LeMat-Bulk.

relative energy among the computed polymorphs: 0.000 eV/atom
DOS at the Fermi energy: 1.81 states/eV per cell
formation energy from the elements: 0.12 eV per atom
raw total energy: -5.297 eV per atom
calculated density: 11.47 g/cm³

Cell: 3.5232 3.5232 6.2077 Å, 90.00 90.00 90.00°
Last column: nearest neighbours and their distance in Å.
Positions (direct):
Au (0.5000, 0.5000, 0.5000)  8 Sn 2.97, 2 Tc 3.10
Sn (0.0000, 0.0000, 0.7598)  4 Tc 2.90, 4 Au 2.97, 2 Sn 2.98-3.23
Sn (0.0000, 0.0000, 0.2402)  4 Tc 2.90, 4 Au 2.97, 2 Sn 2.98-3.23
Tc (0.5000, 0.5000, 0.0000)  8 Sn 2.90, 2 Au 3.10

The following is a GGA-PBE calculation of a relaxed TlTcMoPb2 crystal, from Alexandria via LeMat-Bulk.

DOS at the Fermi energy: 4.19 states/eV per cell
formation energy from the elements: 0.85 eV per atom
raw total energy: -5.345 eV per atom
calculated density: 9.68 g/cm³

Cell: 5.3619 4.8475 5.3619 Å, 90.00 90.00 90.00°
Last column: nearest neighbours and their distance in Å.
Positions (direct):
Pb (0.0000, 0.0000, 0.5000)  2 Tc 2.68
Pb (0.5000, 0.0000, 0.0000)  2 Tc 2.68
Tl (0.5000, 0.5000, 0.5000)  8 Pb 3.61, 4 Mo 3.79
Mo (0.0000, 0.5000, 0.0000)  2 Tc 2.42
Tc (0.0000, 0.0000, 0.0000)  2 Mo 2.42, 4 Pb 2.68

The following is a GGA-PBE calculation of a relaxed CrMo6W8 crystal, from Alexandria via LeMat-Bulk.

relative energy among the computed polymorphs: 0.361 eV/atom
DOS at the Fermi energy: 12.31 states/eV per cell
formation energy from the elements: 0.63 eV per atom
raw total energy: -11.254 eV per atom
calculated density: 13.72 g/cm³

Cell: 2.9075 10.0433 10.0433 Å, 120.00 90.00 90.00°
Last column: nearest neighbours and their distance in Å.
Positions (direct):
Cr (0.5000, 0.0000, 0.0000)  6 W 2.69, 2 Cr 2.91
Mo (0.6397, 0.5314, 0.6312)  1 Mo 2.52, 4 W 2.61-2.79
Mo (0.6397, 0.3688, 0.9003)  1 Mo 2.52, 4 W 2.61-2.79
Mo (0.6397, 0.0997, 0.4686)  1 Mo 2.52, 4 W 2.61-2.79
Mo (0.3603, 0.4686, 0.3688)  1 Mo 2.52, 4 W 2.61-2.79
Mo (0.3603, 0.6312, 0.0997)  1 Mo 2.52, 4 W 2.61-2.79
Mo (0.3603, 0.9003, 0.5314)  1 Mo 2.52, 4 W 2.61-2.79
W (0.8450, 0.7212, 0.9185)  3 Mo 2.61-2.83, 4 W 2.65-2.91, 1 Cr 2.69
W (0.8450, 0.0815, 0.8027)  3 Mo 2.61-2.83, 4 W 2.65-2.91, 1 Cr 2.69
W (0.8450, 0.1973, 0.2788)  3 Mo 2.61-2.83, 4 W 2.65-2.91, 1 Cr 2.69
W (0.1550, 0.2788, 0.0815)  3 Mo 2.61-2.83, 4 W 2.65-2.91, 1 Cr 2.69
W (0.1550, 0.9185, 0.1973)  3 Mo 2.61-2.83, 4 W 2.65-2.91, 1 Cr 2.69
W (0.1550, 0.8027, 0.7212)  3 Mo 2.61-2.83, 4 W 2.65-2.91, 1 Cr 2.69
W (0.8694, 0.6667, 0.3333)  6 Mo 2.61-2.64, 2 W 2.91
W (0.1306, 0.3333, 0.6667)  6 Mo 2.61-2.64, 2 W 2.91